Material: BaCr2Sb
Method: DFT, PBE
State: relaxed

Lattice parameters (Å, degrees): 10.0978 10.0978 10.0978 148.71 148.71 44.85
Atoms (fractional coordinates):
Ba: 0.3750 0.6250 0.7500
Ba: 0.6250 0.3750 0.2500
Cr: 0.0000 0.0000 0.0000
Cr: 0.0000 0.0000 0.5000
Cr: 0.0000 0.5000 0.0000
Cr: 0.5000 0.0000 0.5000
Sb: 0.1250 0.8750 0.2500
Sb: 0.8750 0.1250 0.7500

Properties
Calculated total energy in eV/atom: -5.84
Energy relative to the elements, uncorrected in eV per atom: 0.48